1.
Computed, not measured: a relaxed structure of LaPrB2Pt8 at the PBE level of DFT.

abc: 5.5189 5.5189 7.7029
angles: 90.00 90.00 120.00
Space group P6/mmm (No. 191)
Asymmetric unit:
1 La 0.0000 0.0000 0.0000
2 Pr 0.0000 0.0000 0.5000
3 B 0.3333 0.6667 0.5000
4 Pt 0.0000 0.5000 0.3010
5 Pt 0.3333 0.6667 0.0000

- M_tot: 0.00 μB per cell
- Distance to the lowest polymorph of the same formula: 0.000 eV per atom



2.
Computed, not measured: a relaxed structure of BeCuSiAg at the PBE level of DFT.

abc: 5.973 5.973 5.973
angles: 90.00 90.00 90.00
Space group F-43m (No. 216)
Asymmetric unit:
1 Be 0.000 0.000 0.000
2 Cu 0.000 0.000 0.500
3 Si 0.250 0.250 0.250
4 Ag 0.250 0.250 0.750

- Energy: -3.611 eV/atom



3.
Computed, not measured: a relaxed structure of LaNdTlCo2 at the PBE level of DFT.

abc: 4.001 3.932 14.582
angles: 90.00 90.00 90.00
Space group Amm2 (No. 38)
Asymmetric unit:
1 La 0.000 0.000 0.000
2 Nd 0.000 0.000 0.724
3 Tl 0.500 0.000 0.359
4 Co 0.500 0.000 0.152
5 Co 0.500 0.000 0.571

- M_tot: 2.65 μB per cell
- Energy: -5.467 eV/atom



4.
Computed, not measured: a relaxed structure of NbHg2Sb at the PBE level of DFT.

abc: 7.057 7.057 7.057
angles: 90.00 90.00 90.00
Space group F-43m (No. 216)
Asymmetric unit:
1 Nb 0.000 0.000 0.000
2 Hg 0.000 0.000 0.500
3 Hg 0.250 0.250 0.250
4 Sb 0.250 0.250 0.750

- M_tot: 0.48 μB per cell
- Energy: -3.219 eV/atom



5.
Computed, not measured: a relaxed structure of ScZnAgPt at the PBE level of DFT.

abc: 6.478 6.478 6.478
angles: 90.00 90.00 90.00
Space group F-43m (No. 216)
Asymmetric unit:
1 Sc 0.000 0.000 0.000
2 Zn 0.000 0.000 0.500
3 Ag 0.250 0.250 0.250
4 Pt 0.250 0.250 0.750

- M_tot: 0.00 μB per cell
- Energy of formation: -0.613 eV per atom
- Distance to the lowest polymorph of the same formula: 0.000 eV per atom



6.
Computed, not measured: a relaxed structure of SmZn2 at the PBE level of DFT.

abc: 3.676 14.104 4.718
angles: 90.00 90.00 90.00
Space group Cmcm (No. 63)
Asymmetric unit:
1 Sm 0.000 0.085 0.250
2 Zn 0.000 0.248 0.750
3 Zn 0.000 0.381 0.250

- M_tot: 0.00 μB per cell
- Energy of formation: -0.229 eV per atom



7.
Computed, not measured: a relaxed structure of AcSnMo at the PBE level of DFT.

abc: 7.530 7.530 7.530
angles: 90.00 90.00 90.00
Space group F-43m (No. 216)
Asymmetric unit:
1 Ac 0.000 0.000 0.000
2 Sn 0.250 0.250 0.250
3 Mo 0.250 0.250 0.750

- M_tot: 16.71 μB per cell
- Distance to the lowest polymorph of the same formula: 0.757 eV per atom



8.
Computed, not measured: a relaxed structure of Ta4Mo2C3S3 at the PBE level of DFT.

abc: 9.814 5.672 12.101
angles: 90.00 105.10 90.00
Space group C2/c (No. 15)
Asymmetric unit:
1 Ta 0.114 0.108 0.094
2 Ta 0.230 0.070 0.406
3 Mo 0.033 0.435 0.900
4 C 0.088 0.236 0.501
5 C 0.250 0.250 0.000
6 S 0.000 0.088 0.750
7 S 0.167 0.415 0.254

- M_tot: 0.01 μB per cell
- Energy: -9.622 eV/atom